(1)
The following is a DFT calculation (PBE) of a relaxed structure of BaCu3Cl.

Results
total moment: 0.0 μB per formula unit
density of states at the Fermi level: 3.9 states/eV/f.u.
SG: Pm-3m (221)
uncorrected formation energy: 492 meV per atom
relative energy among the computed polymorphs: 0 meV per atom

Cell and atoms, written as POSCAR:
```
BaCu3Cl
1.0
4.917 0.000 0.000
0.000 4.917 0.000
0.000 0.000 4.917
Ba Cu Cl
1 3 1
Direct
0.000 0.000 0.000 Ba
0.000 0.500 0.500 Cu
0.500 0.000 0.500 Cu
0.500 0.500 0.000 Cu
0.500 0.500 0.500 Cl
```

(2)
The following is a DFT calculation (PBE) of a relaxed structure of CaY5Ho4.

Results
total moment: 0.0 μB per formula unit
density of states at the Fermi level: 14.6 states/eV/f.u.
SG: P4/mmm (123)
formation energy from the elements: 41.2 meV per atom

Cell and atoms, written as POSCAR:
```
CaY5Ho4
1.0
3.575 0.000 0.000
0.000 3.575 0.000
0.000 0.000 25.478
Ca Y Ho
1 5 4
Direct
0.000 0.000 0.000 Ca
0.500 0.500 0.111 Y
0.500 0.500 0.305 Y
0.500 0.500 0.500 Y
0.500 0.500 0.695 Y
0.500 0.500 0.889 Y
0.000 0.000 0.206 Ho
0.000 0.000 0.402 Ho
0.000 0.000 0.598 Ho
0.000 0.000 0.794 Ho
```

Among the records above, which one has the lowest density of states at the Fermi level? BaCu3Cl

Look up the total moment of the second one. 0.0 μB per formula unit

Which of these has the lowest density of states at the Fermi level? BaCu3Cl